Entry A
Density functional theory data (PBE-GGA) for a geometry-optimized PdPtAu2 structure.

crystal system: cubic
ρ: 17.19 Mg/m³

Cell: 4.563 4.563 4.563 Å, 60.00 60.00 60.00°
Fractional coordinates of all 4 atoms:
Pd (0.000, 0.000, 0.000)
Pt (0.500, 0.500, 0.500)
Au (0.250, 0.250, 0.250)
Au (0.750, 0.750, 0.750)

=====

Entry B
Density functional theory data (PBE-GGA) for a geometry-optimized PdPtAu2 structure.

crystal system: tetragonal
ρ: 17.27 Mg/m³

Cell: 4.107 4.107 3.964 Å, 90.00 90.00 90.00°
Fractional coordinates of all 4 atoms:
Pd (0.000, 0.000, 0.000)
Pt (0.500, 0.500, 0.000)
Au (0.000, 0.500, 0.500)
Au (0.500, 0.000, 0.500)

=====

Most stable of them? entry B.

=====

Entry A
Density functional theory data (PBE-GGA) for a geometry-optimized PdPtAu2 structure.

crystal system: tetragonal
ρ: 17.18 Mg/m³

Cell: 3.228 3.228 6.451 Å, 90.00 90.00 90.00°
Fractional coordinates of all 4 atoms:
Pd (0.000, 0.000, 0.000)
Pt (0.000, 0.000, 0.500)
Au (0.500, 0.500, 0.249)
Au (0.500, 0.500, 0.751)

=====

Entry B
Density functional theory data (PBE-GGA) for a geometry-optimized PdPtAu2 structure.

crystal system: trigonal
ρ: 17.25 Mg/m³

Cell: 9.651 9.651 9.651 Å, 16.99 16.99 16.99°
Fractional coordinates of all 4 atoms:
Pd (0.000, 0.000, 0.000)
Pt (0.167, 0.167, 0.167)
Au (0.584, 0.584, 0.584)
Au (0.750, 0.750, 0.750)

=====

Most stable of them? entry B.

=====

Entry A
Density functional theory data (PBE-GGA) for a geometry-optimized Pd4Pt4Au structure.

crystal system: tetragonal
ρ: 14.79 Mg/m³

Cell: 5.784 5.784 9.415 Å, 90.00 90.00 90.00°
Fractional coordinates of all 18 atoms:
Pd (0.004, 0.250, 0.016)
Pd (0.250, 0.004, 0.516)
Pd (0.250, 0.496, 0.516)
Pd (0.496, 0.250, 0.016)
Pd (0.504, 0.750, 0.984)
Pd (0.750, 0.504, 0.484)
Pd (0.750, 0.996, 0.484)
Pd (0.996, 0.750, 0.984)
Pt (0.034, 0.250, 0.311)
Pt (0.250, 0.034, 0.811)
Pt (0.250, 0.466, 0.811)
Pt (0.466, 0.250, 0.311)
Pt (0.534, 0.750, 0.689)
Pt (0.750, 0.534, 0.189)
Pt (0.750, 0.966, 0.189)
Pt (0.966, 0.750, 0.689)
Au (0.250, 0.750, 0.250)
Au (0.750, 0.250, 0.750)

=====

Entry B
Density functional theory data (PBE-GGA) for a geometry-optimized Pd4Pt4Au structure.

crystal system: tetragonal
ρ: 16.44 Mg/m³

Cell: 6.271 6.271 6.271 Å, 95.88 95.88 142.66°
Fractional coordinates of all 9 atoms:
Pd (0.000, 0.334, 0.334)
Pd (0.000, 0.666, 0.666)
Pd (0.334, 0.000, 0.334)
Pd (0.666, 0.000, 0.666)
Pt (0.331, 0.331, 0.662)
Pt (0.331, 0.669, 0.000)
Pt (0.669, 0.331, 0.000)
Pt (0.669, 0.669, 0.338)
Au (0.000, 0.000, 0.000)

=====

Most stable of them? entry B.

=====

Entry A
Density functional theory data (PBE-GGA) for a geometry-optimized Pd4PtAu2 structure.

crystal system: tetragonal
ρ: 13.86 Mg/m³

Cell: 6.811 6.811 6.811 Å, 109.22 109.22 109.97°
Fractional coordinates of all 14 atoms:
Pd (0.117, 0.210, 0.750)
Pd (0.117, 0.709, 0.750)
Pd (0.291, 0.040, 0.408)
Pd (0.459, 0.367, 0.250)
Pd (0.633, 0.883, 0.092)
Pd (0.633, 0.883, 0.592)
Pd (0.790, 0.541, 0.908)
Pd (0.960, 0.367, 0.250)
Pt (0.000, 0.000, 0.000)
Pt (0.750, 0.250, 0.500)
Au (0.254, 0.625, 0.129)
Au (0.375, 0.504, 0.629)
Au (0.496, 0.125, 0.871)
Au (0.875, 0.746, 0.371)

=====

Entry B
Density functional theory data (PBE-GGA) for a geometry-optimized Pd4PtAu2 structure.

crystal system: monoclinic
ρ: 14.42 Mg/m³

Cell: 6.196 6.196 8.049 Å, 119.45 119.45 72.72°
Fractional coordinates of all 14 atoms:
Pd (0.062, 0.938, 0.500)
Pd (0.185, 0.492, 0.214)
Pd (0.234, 0.626, 0.861)
Pd (0.463, 0.642, 0.647)
Pd (0.492, 0.185, 0.714)
Pd (0.626, 0.234, 0.361)
Pd (0.642, 0.463, 0.147)
Pd (0.938, 0.062, 0.000)
Pt (0.078, 0.336, 0.432)
Pt (0.336, 0.078, 0.932)
Au (0.352, 0.901, 0.284)
Au (0.757, 0.790, 0.076)
Au (0.790, 0.757, 0.576)
Au (0.901, 0.352, 0.784)

=====

Most stable of them? entry B.

=====

Entry A
Density functional theory data (PBE-GGA) for a geometry-optimized PdPt2Au6 structure.

crystal system: monoclinic
ρ: 18.06 Mg/m³

Cell: 4.968 4.968 8.653 Å, 105.97 105.97 49.29°
Fractional coordinates of all 9 atoms:
Pd (0.000, 0.000, 0.000)
Pt (0.335, 0.335, 0.446)
Pt (0.665, 0.665, 0.554)
Au (0.004, 0.004, 0.335)
Au (0.330, 0.330, 0.776)
Au (0.335, 0.335, 0.111)
Au (0.665, 0.665, 0.889)
Au (0.670, 0.670, 0.224)
Au (0.996, 0.996, 0.665)

=====

Entry B
Density functional theory data (PBE-GGA) for a geometry-optimized PdPt2Au6 structure.

crystal system: orthorhombic
ρ: 17.63 Mg/m³

Cell: 8.322 8.322 8.322 Å, 160.70 123.52 60.26°
Fractional coordinates of all 9 atoms:
Pd (0.000, 0.000, 0.000)
Pt (0.346, 0.846, 0.500)
Pt (0.654, 0.154, 0.500)
Au (0.002, 0.329, 0.673)
Au (0.324, 0.500, 0.824)
Au (0.344, 0.671, 0.673)
Au (0.656, 0.329, 0.327)
Au (0.676, 0.500, 0.176)
Au (0.998, 0.671, 0.327)

=====

Most stable of them? entry A.

=====

Entry A
Density functional theory data (PBE-GGA) for a geometry-optimized Pd5PtAu2 structure.

crystal system: orthorhombic
ρ: 14.49 Mg/m³

Cell: 5.694 11.374 3.967 Å, 90.00 90.00 90.00°
Fractional coordinates of all 16 atoms:
Pd (0.000, 0.000, 0.000)
Pd (0.008, 0.251, 0.000)
Pd (0.243, 0.623, 0.500)
Pd (0.257, 0.123, 0.500)
Pd (0.492, 0.751, 0.000)
Pd (0.500, 0.500, 0.000)
Pd (0.508, 0.249, 0.000)
Pd (0.743, 0.877, 0.500)
Pd (0.757, 0.377, 0.500)
Pd (0.992, 0.749, 0.000)
Pt (0.000, 0.500, 0.000)
Pt (0.500, 0.000, 0.000)
Au (0.243, 0.874, 0.500)
Au (0.257, 0.374, 0.500)
Au (0.743, 0.626, 0.500)
Au (0.757, 0.126, 0.500)

=====

Entry B
Density functional theory data (PBE-GGA) for a geometry-optimized Pd5PtAu2 structure.

crystal system: orthorhombic
ρ: 13.97 Mg/m³

Cell: 7.383 7.383 7.383 Å, 158.35 115.27 69.13°
Fractional coordinates of all 8 atoms:
Pd (0.000, 0.000, 0.000)
Pd (0.141, 0.384, 0.757)
Pd (0.372, 0.616, 0.757)
Pd (0.628, 0.384, 0.243)
Pd (0.859, 0.616, 0.243)
Pt (0.500, 0.000, 0.500)
Au (0.230, 0.230, 0.000)
Au (0.770, 0.770, 0.000)

=====

Most stable of them? entry A.

=====

Entry A
Density functional theory data (PBE-GGA) for a geometry-optimized Pd6Pt2Au structure.

crystal system: monoclinic
ρ: 14.12 Mg/m³

Cell: 7.988 7.988 2.717 Å, 99.65 99.65 57.91°
Fractional coordinates of all 9 atoms:
Pd (0.156, 0.502, 0.827)
Pd (0.171, 0.829, 0.000)
Pd (0.498, 0.844, 0.173)
Pd (0.502, 0.156, 0.827)
Pd (0.829, 0.171, 0.000)
Pd (0.844, 0.498, 0.173)
Pt (0.155, 0.155, 0.653)
Pt (0.845, 0.845, 0.347)
Au (0.500, 0.500, 0.500)

=====

Entry B
Density functional theory data (PBE-GGA) for a geometry-optimized Pd6Pt2Au structure.

crystal system: monoclinic
ρ: 13.95 Mg/m³

Cell: 8.840 8.840 5.063 Å, 97.44 97.44 48.16°
Fractional coordinates of all 18 atoms:
Pd (0.053, 0.098, 0.136)
Pd (0.098, 0.053, 0.636)
Pd (0.110, 0.549, 0.112)
Pd (0.267, 0.530, 0.657)
Pd (0.451, 0.890, 0.388)
Pd (0.470, 0.733, 0.843)
Pd (0.530, 0.267, 0.157)
Pd (0.549, 0.110, 0.612)
Pd (0.733, 0.470, 0.343)
Pd (0.890, 0.451, 0.888)
Pd (0.902, 0.947, 0.364)
Pd (0.947, 0.902, 0.864)
Pt (0.150, 0.304, 0.451)
Pt (0.304, 0.150, 0.951)
Pt (0.696, 0.850, 0.049)
Pt (0.850, 0.696, 0.549)
Au (0.322, 0.678, 0.250)
Au (0.678, 0.322, 0.750)

=====

Most stable of them? entry A.

=====

Entry A
Density functional theory data (PBE-GGA) for a geometry-optimized Pd2PtAu4 structure.

crystal system: tetragonal
ρ: 15.64 Mg/m³

Cell: 6.909 6.909 6.909 Å, 109.49 109.49 109.43°
Fractional coordinates of all 14 atoms:
Pd (0.375, 0.247, 0.372)
Pd (0.753, 0.125, 0.128)
Pd (0.875, 0.003, 0.628)
Pd (0.997, 0.625, 0.872)
Pt (0.250, 0.750, 0.500)
Pt (0.500, 0.500, 0.000)
Au (0.126, 0.376, 0.088)
Au (0.126, 0.376, 0.588)
Au (0.288, 0.037, 0.912)
Au (0.462, 0.874, 0.249)
Au (0.624, 0.213, 0.751)
Au (0.624, 0.712, 0.749)
Au (0.787, 0.538, 0.412)
Au (0.963, 0.874, 0.251)

=====

Entry B
Density functional theory data (PBE-GGA) for a geometry-optimized Pd2PtAu4 structure.

crystal system: orthorhombic
ρ: 16.49 Mg/m³

Cell: 9.259 9.259 9.259 Å, 162.39 149.89 35.10°
Fractional coordinates of all 7 atoms:
Pd (0.224, 0.224, 0.000)
Pd (0.776, 0.776, 0.000)
Pt (0.500, 0.500, 0.000)
Au (0.082, 0.582, 0.500)
Au (0.361, 0.861, 0.500)
Au (0.639, 0.139, 0.500)
Au (0.918, 0.418, 0.500)

=====

Most stable of them? entry B.

=====

Entry A
Density functional theory data (PBE-GGA) for a geometry-optimized Pd4Pt2Au5 structure.

crystal system: monoclinic
ρ: 15.86 Mg/m³

Cell: 9.956 9.956 6.928 Å, 93.46 93.46 15.97°
Fractional coordinates of all 11 atoms:
Pd (0.045, 0.045, 0.363)
Pd (0.330, 0.330, 0.521)
Pd (0.670, 0.670, 0.479)
Pd (0.955, 0.955, 0.637)
Pt (0.089, 0.089, 0.736)
Pt (0.911, 0.911, 0.264)
Au (0.142, 0.142, 0.110)
Au (0.231, 0.231, 0.803)
Au (0.500, 0.500, 0.000)
Au (0.769, 0.769, 0.197)
Au (0.858, 0.858, 0.890)

=====

Entry B
Density functional theory data (PBE-GGA) for a geometry-optimized Pd4Pt2Au5 structure.

crystal system: monoclinic
ρ: 14.86 Mg/m³

Cell: 8.717 8.717 6.018 Å, 97.40 97.40 26.36°
Fractional coordinates of all 11 atoms:
Pd (0.036, 0.036, 0.311)
Pd (0.274, 0.274, 0.151)
Pd (0.726, 0.726, 0.849)
Pd (0.964, 0.964, 0.689)
Pt (0.423, 0.423, 0.390)
Pt (0.577, 0.577, 0.610)
Au (0.120, 0.120, 0.948)
Au (0.191, 0.191, 0.516)
Au (0.500, 0.500, 0.000)
Au (0.809, 0.809, 0.484)
Au (0.880, 0.880, 0.052)

=====

Most stable of them? entry A.

=====

Entry A
Density functional theory data (PBE-GGA) for a geometry-optimized Pd6Pt3Au structure.

crystal system: trigonal
ρ: 13.31 Mg/m³

Cell: 4.760 4.760 9.029 Å, 90.00 90.00 120.00°
Fractional coordinates of all 10 atoms:
Pd (0.000, 0.337, 0.260)
Pd (0.000, 0.663, 0.740)
Pd (0.337, 0.000, 0.260)
Pd (0.337, 0.337, 0.740)
Pd (0.663, 0.000, 0.740)
Pd (0.663, 0.663, 0.260)
Pt (0.000, 0.000, 0.000)
Pt (0.333, 0.667, 0.000)
Pt (0.667, 0.333, 0.000)
Au (0.000, 0.000, 0.500)

=====

Entry B
Density functional theory data (PBE-GGA) for a geometry-optimized Pd6Pt3Au structure.

crystal system: monoclinic
ρ: 13.50 Mg/m³

Cell: 5.068 5.068 6.951 Å, 98.07 98.07 92.39°
Fractional coordinates of all 10 atoms:
Pd (0.121, 0.121, 0.383)
Pd (0.189, 0.564, 0.164)
Pd (0.436, 0.811, 0.836)
Pd (0.564, 0.189, 0.164)
Pd (0.811, 0.436, 0.836)
Pd (0.879, 0.879, 0.617)
Pt (0.285, 0.285, 0.769)
Pt (0.500, 0.500, 0.500)
Pt (0.715, 0.715, 0.231)
Au (0.000, 0.000, 0.000)

=====

Most stable of them? entry A.

=====

Entry A
Density functional theory data (PBE-GGA) for a geometry-optimized Pd2PtAu5 structure.

crystal system: tetragonal
ρ: 16.33 Mg/m³

Cell: 7.535 7.535 7.535 Å, 123.79 123.79 83.55°
Fractional coordinates of all 16 atoms:
Pd (0.142, 0.642, 0.784)
Pd (0.358, 0.142, 0.500)
Pd (0.642, 0.858, 0.500)
Pd (0.858, 0.358, 0.216)
Pt (0.250, 0.250, 0.000)
Pt (0.750, 0.750, 0.000)
Au (0.000, 0.000, 0.000)
Au (0.011, 0.814, 0.500)
Au (0.186, 0.686, 0.196)
Au (0.314, 0.511, 0.500)
Au (0.489, 0.989, 0.804)
Au (0.500, 0.500, 0.000)
Au (0.511, 0.011, 0.196)
Au (0.686, 0.489, 0.500)
Au (0.814, 0.314, 0.804)
Au (0.989, 0.186, 0.500)

=====

Entry B
Density functional theory data (PBE-GGA) for a geometry-optimized Pd2PtAu5 structure.

crystal system: orthorhombic
ρ: 14.65 Mg/m³

Cell: 8.182 8.182 14.201 Å, 90.00 90.00 160.61°
Fractional coordinates of all 16 atoms:
Pd (0.126, 0.874, 0.582)
Pd (0.126, 0.874, 0.918)
Pd (0.874, 0.126, 0.082)
Pd (0.874, 0.126, 0.418)
Pt (0.130, 0.870, 0.250)
Pt (0.870, 0.130, 0.750)
Au (0.040, 0.960, 0.090)
Au (0.040, 0.960, 0.410)
Au (0.208, 0.792, 0.750)
Au (0.218, 0.782, 0.084)
Au (0.218, 0.782, 0.416)
Au (0.782, 0.218, 0.584)
Au (0.782, 0.218, 0.916)
Au (0.792, 0.208, 0.250)
Au (0.960, 0.040, 0.590)
Au (0.960, 0.040, 0.910)

=====

Most stable of them? entry A.